No. 1
Density functional theory data (PBE) for crystalline TaInPS2 at its relaxed geometry.

Unit cell a=4.794 b=4.794 c=4.997 alpha=90.00 beta=90.00 gamma=90.00
Space group P4/mmm (No. 123)
One atom of each set of equivalent atoms:
Ta: 0.000 0.000 0.000 x1
In: 0.500 0.500 0.500 x1
P: 0.000 0.000 0.500 x1
S: 0.000 0.500 0.000 x2

Output
Its distance to the lowest polymorph of the same formula is 0.0 kJ/mol of formula units.

---

No. 2
Density functional theory data (PBE) for crystalline Pa2PSe2N at its relaxed geometry.

Unit cell a=6.690 b=13.785 c=5.506 alpha=90.00 beta=90.00 gamma=90.00
Space group Ibam (No. 72)
One atom of each set of equivalent atoms:
Pa: 0.190 0.098 0.000 x8
P: 0.000 0.500 0.250 x4
Se: 0.197 0.189 0.500 x8
N: 0.000 0.000 0.250 x4

Output
The total energy comes out at -192.324 eV for the cell shown.